The following is a DFT calculation (PBE-GGA) of TbCePr2Ho5 after structural relaxation.

Unit cell a=8.5947 b=8.5947 c=15.6928 alpha=90.00 beta=90.00 gamma=90.00
Closest atoms and distances in Å follow each position.
Space group I4/mcm (No. 140)
One atom of each set of equivalent atoms:
Tb: 0.0000 0.0000 0.2500 (multiplicity 4)  10 Ho 3.52-3.92
Ce: 0.0000 0.5000 0.2500 (multiplicity 4)  4 Ho 3.02
Pr: 0.1208 0.3792 0.0000 (multiplicity 8)  1 Pr 2.94, 2 Ho 3.07
Ho: 0.0000 0.0000 0.0000 (multiplicity 4)  4 Pr 3.42, 8 Ho 3.80
Ho: 0.2056 0.2944 0.3583 (multiplicity 16)  1 Ce 3.02, 1 Pr 3.07

Output
DFT formation energy (eV per atom): 0.271
Mass density (g cm⁻³): 8.1